{"formula": "LiPm3Th4S8", "functional": "PBE", "state": "optimized geometry", "crystal_system": "trigonal", "sg": "No. 166", "e_form_raw_ev_per_atom": -1.8632, "lattice_angstrom": [[3.9833, 2.2998, 6.6574], [-3.9833, 2.2998, 6.6574], [0.0000, -4.5996, 6.6574]], "species": ["Li", "Pm", "Pm", "Pm", "Th", "Th", "Th", "Th", "S", "S", "S", "S", "S", "S", "S", "S"], "frac_coords": [[0.0000, 0.0000, 0.0000], [0.0000, 0.5000, 0.5000], [0.5000, 0.0000, 0.5000], [0.5000, 0.5000, 0.0000], [0.0000, 0.0000, 0.5000], [0.0000, 0.5000, 0.0000], [0.5000, 0.0000, 0.0000], [0.5000, 0.5000, 0.5000], [0.2412, 0.2412, 0.7577], [0.2412, 0.7577, 0.2412], [0.2423, 0.7588, 0.7588], [0.2511, 0.2511, 0.2511], [0.7489, 0.7489, 0.7489], [0.7577, 0.2412, 0.2412], [0.7588, 0.2423, 0.7588], [0.7588, 0.7588, 0.2423]]}